Entry 1:
Here is a geometry-optimized Y8TlS4 structure from Alexandria via LeMat-Bulk. Energies are from PBE. Values from VASP.

## Properties
Crystal system ... monoclinic
Energy ... -6.69 eV per atom
ΔE_f (raw) ... -1263.1 meV per atom
Symmetry ... C2/m (12)
Fermi-level density of states ... 7.18 states/eV/f.u.

Cell and atoms, written as Quantum ESPRESSO input:
```
&SYSTEM
  ibrav = 0, nat = 13, ntyp = 3
/
ATOMIC_SPECIES
Y 88.91 Y.upf
Tl 204.38 Tl.upf
S 32.06 S.upf
ATOMIC_POSITIONS crystal
Y 0.1730 0.2991 0.3550
Y 0.5612 0.6147 0.2629
Y 0.4702 0.3887 0.6709
Y 0.8584 0.7043 0.5788
Y 0.8866 0.9658 0.2609
Y 0.1811 0.7077 0.9301
Y 0.1448 0.0376 0.6728
Y 0.8503 0.2956 0.0037
Tl 0.5158 0.0016 0.9668
S 0.3583 0.8493 0.4342
S 0.8257 0.5341 0.8146
S 0.2058 0.4693 0.1192
S 0.6732 0.1541 0.4996
CELL_PARAMETERS angstrom
-2.3494 -0.9570 2.9230
-1.4008 -9.2390 -1.5885
6.2039 -2.5127 6.7261
```

Entry 2:
Here is a geometry-optimized GaFeTc structure from Alexandria via LeMat-Bulk. Energies are from PBE. Values from VASP.

## Properties
Crystal system ... tetragonal
Energy ... -7.37 eV per atom
Energy relative to the elements ... -0.087 eV per atom
Energy above the most stable polymorph in this dataset ... 0.000 eV/atom
Symmetry ... I4mm (107)
Fermi-level density of states ... 2.35 states/eV/f.u.

Cell and atoms, written as Quantum ESPRESSO input:
```
&SYSTEM
  ibrav = 0, nat = 3, ntyp = 3
/
ATOMIC_SPECIES
Tc 98.00 Tc.upf
Ga 69.72 Ga.upf
Fe 55.84 Fe.upf
ATOMIC_POSITIONS crystal
Tc 0.3222 0.3222 0.6445
Ga 0.0089 0.0089 0.0178
Fe 0.6689 0.6689 0.3377
CELL_PARAMETERS angstrom
-0.3557 1.2880 -2.4292
2.0466 -1.5117 -1.1012
-4.2068 -3.4298 0.3797
```

Entry 3:
Here is a geometry-optimized Ca2PrPd structure from Alexandria via LeMat-Bulk. Energies are from PBE. Values from VASP.

## Properties
Crystal system ... trigonal
Energy ... -3.62 eV per atom
Energy relative to the elements ... -0.121 eV per atom
Energy above the most stable polymorph in this dataset ... 0.266 eV/atom
Symmetry ... R-3m (166)
Fermi-level density of states ... 3.70 states/eV/f.u.

Cell and atoms, written as Quantum ESPRESSO input:
```
&SYSTEM
  ibrav = 0, nat = 4, ntyp = 3
/
ATOMIC_SPECIES
Pr 140.91 Pr.upf
Ca 40.08 Ca.upf
Pd 106.42 Pd.upf
ATOMIC_POSITIONS crystal
Pr 0.0000 0.0000 0.0000
Ca 0.1103 0.1103 0.6690
Ca 0.8897 0.8897 0.3310
Pd 0.5000 0.5000 0.5000
CELL_PARAMETERS angstrom
-0.4283 -3.6463 -0.7429
3.0077 -2.1717 -0.5179
1.1081 -4.1575 10.3232
```

Which of these has the lowest Fermi-level density of states? GaFeTc

The lowest Fermi-level density of states belongs to which entry? GaFeTc

What is the energy in the second record? -7.37 eV per atom

energy of number 1 (Y8TlS4)? -6.69 eV per atom